<a>
ZrCuHg after structural relaxation, computed with GGA-PBE. Values from VASP.

Computed properties:
Space-group type: No. 107

The structure in Quantum ESPRESSO input format:
```
&SYSTEM
  ibrav = 0, nat = 3, ntyp = 3
/
ATOMIC_SPECIES
Zr 91.22 Zr.upf
Hg 200.59 Hg.upf
Cu 63.55 Cu.upf
CELL_PARAMETERS angstrom
-4.421 -1.563 3.937
-1.753 -2.170 5.451
-0.426 2.541 1.772
ATOMIC_POSITIONS crystal
Zr 0.653 0.653 0.347
Hg 0.348 0.348 0.652
Cu 0.999 0.999 0.001
```

---

<b>
ZrCuHg after structural relaxation, computed with GGA-PBE. Values from VASP.

Computed properties:
Space-group type: No. 187

The structure in Quantum ESPRESSO input format:
```
&SYSTEM
  ibrav = 0, nat = 3, ntyp = 3
/
ATOMIC_SPECIES
Zr 91.22 Zr.upf
Hg 200.59 Hg.upf
Cu 63.55 Cu.upf
CELL_PARAMETERS angstrom
-1.324 3.125 3.169
-1.312 -4.434 0.423
2.439 -0.571 1.582
ATOMIC_POSITIONS crystal
Zr 0.333 0.667 0.667
Hg 0.667 0.333 0.166
Cu 0.000 0.000 0.167
```

---

<c>
ZrCuHg after structural relaxation, computed with GGA-PBE. Values from VASP.

Computed properties:
Space-group type: No. 216

The structure in Quantum ESPRESSO input format:
```
&SYSTEM
  ibrav = 0, nat = 3, ntyp = 3
/
ATOMIC_SPECIES
Hg 200.59 Hg.upf
Cu 63.55 Cu.upf
Zr 91.22 Zr.upf
CELL_PARAMETERS angstrom
4.587 0.000 0.000
2.294 3.973 0.000
2.294 1.324 3.746
ATOMIC_POSITIONS crystal
Hg 0.500 0.500 0.500
Cu 0.000 0.000 0.000
Zr 0.750 0.750 0.750
```

---

Quick one: most stable of them? <b>

---

<a>
ZrCuHg after structural relaxation, computed with GGA-PBE. Values from VASP.

Computed properties:
Space-group type: No. 11

The structure in Quantum ESPRESSO input format:
```
&SYSTEM
  ibrav = 0, nat = 6, ntyp = 3
/
ATOMIC_SPECIES
Zr 91.22 Zr.upf
Hg 200.59 Hg.upf
Cu 63.55 Cu.upf
CELL_PARAMETERS angstrom
-2.039 3.796 0.660
-0.621 -1.076 4.269
6.001 0.555 1.014
ATOMIC_POSITIONS crystal
Zr 0.896 0.250 0.792
Hg 0.401 0.750 0.806
Cu 0.753 0.750 0.509
Cu 0.247 0.250 0.491
Zr 0.104 0.750 0.208
Hg 0.599 0.250 0.194
```

---

<b>
ZrCuHg after structural relaxation, computed with GGA-PBE. Values from VASP.

Computed properties:
Space-group type: No. 156

The structure in Quantum ESPRESSO input format:
```
&SYSTEM
  ibrav = 0, nat = 3, ntyp = 3
/
ATOMIC_SPECIES
Zr 91.22 Zr.upf
Cu 63.55 Cu.upf
Hg 200.59 Hg.upf
CELL_PARAMETERS angstrom
3.301 0.000 0.000
-1.651 2.859 0.000
0.000 0.000 6.393
ATOMIC_POSITIONS crystal
Zr 0.333 0.667 0.690
Cu 0.000 0.000 0.998
Hg 0.667 0.333 0.311
```

---

Quick one: most stable of them? <a>

---

<a>
ZrCuHg2 after structural relaxation, computed with GGA-PBE. Values from VASP.

Computed properties:
Space-group type: No. 122

The structure in Quantum ESPRESSO input format:
```
&SYSTEM
  ibrav = 0, nat = 8, ntyp = 3
/
ATOMIC_SPECIES
Cu 63.55 Cu.upf
Hg 200.59 Hg.upf
Zr 91.22 Zr.upf
CELL_PARAMETERS angstrom
-1.208 -4.255 6.203
-3.436 -5.276 -4.289
0.249 -6.102 0.541
ATOMIC_POSITIONS crystal
Cu 0.500 0.500 0.000
Hg 0.375 0.410 0.750
Hg 0.875 0.840 0.750
Hg 0.160 0.625 0.250
Hg 0.590 0.125 0.250
Zr 0.000 0.000 0.000
Zr 0.750 0.250 0.500
Cu 0.250 0.750 0.500
```

---

<b>
ZrCuHg2 after structural relaxation, computed with GGA-PBE. Values from VASP.

Computed properties:
Space-group type: No. 216

The structure in Quantum ESPRESSO input format:
```
&SYSTEM
  ibrav = 0, nat = 4, ntyp = 3
/
ATOMIC_SPECIES
Hg 200.59 Hg.upf
Zr 91.22 Zr.upf
Cu 63.55 Cu.upf
CELL_PARAMETERS angstrom
4.780 0.000 0.000
2.390 4.140 0.000
2.390 1.380 3.903
ATOMIC_POSITIONS crystal
Hg 0.250 0.250 0.250
Zr 0.750 0.750 0.750
Hg 0.000 0.000 0.000
Cu 0.500 0.500 0.500
```

---

Quick one: most stable of them? <b>

---

<a>
ZrCuHg2 after structural relaxation, computed with GGA-PBE. Values from VASP.

Computed properties:
Space-group type: No. 139

The structure in Quantum ESPRESSO input format:
```
&SYSTEM
  ibrav = 0, nat = 8, ntyp = 3
/
ATOMIC_SPECIES
Hg 200.59 Hg.upf
Cu 63.55 Cu.upf
Zr 91.22 Zr.upf
CELL_PARAMETERS angstrom
4.312 0.000 -1.196
-0.332 4.299 -1.196
0.001 0.001 8.377
ATOMIC_POSITIONS crystal
Hg 0.500 0.000 0.000
Hg 0.000 0.500 0.000
Hg 0.649 0.649 0.297
Cu 0.250 0.750 0.500
Cu 0.750 0.250 0.500
Hg 0.351 0.351 0.703
Zr 0.858 0.858 0.716
Zr 0.142 0.142 0.284
```

---

<b>
ZrCuHg2 after structural relaxation, computed with GGA-PBE. Values from VASP.

Computed properties:
Space-group type: No. 10

The structure in Quantum ESPRESSO input format:
```
&SYSTEM
  ibrav = 0, nat = 4, ntyp = 3
/
ATOMIC_SPECIES
Zr 91.22 Zr.upf
Hg 200.59 Hg.upf
Cu 63.55 Cu.upf
CELL_PARAMETERS angstrom
4.382 0.000 0.000
0.000 2.995 -0.003
0.000 1.473 6.006
ATOMIC_POSITIONS crystal
Zr 0.500 0.250 0.250
Hg 0.000 0.897 0.985
Cu 0.500 0.750 0.750
Hg 0.000 0.603 0.515
```

---

Quick one: most stable of them? <a>

---

<a>
ZrCuHg2 after structural relaxation, computed with GGA-PBE. Values from VASP.

Computed properties:
Space-group type: No. 123

The structure in Quantum ESPRESSO input format:
```
&SYSTEM
  ibrav = 0, nat = 4, ntyp = 3
/
ATOMIC_SPECIES
Hg 200.59 Hg.upf
Zr 91.22 Zr.upf
Cu 63.55 Cu.upf
CELL_PARAMETERS angstrom
4.299 0.000 0.000
0.000 4.298 0.000
0.000 0.000 4.318
ATOMIC_POSITIONS crystal
Hg 0.500 0.500 0.000
Zr 0.500 0.000 0.500
Cu 0.000 0.500 0.500
Hg 0.000 0.000 0.000
```

---

<b>
ZrCuHg2 after structural relaxation, computed with GGA-PBE. Values from VASP.

Computed properties:
Space-group type: No. 123

The structure in Quantum ESPRESSO input format:
```
&SYSTEM
  ibrav = 0, nat = 4, ntyp = 3
/
ATOMIC_SPECIES
Cu 63.55 Cu.upf
Hg 200.59 Hg.upf
Zr 91.22 Zr.upf
CELL_PARAMETERS angstrom
-1.268 -1.152 2.757
2.911 -1.146 0.860
1.502 6.313 3.327
ATOMIC_POSITIONS crystal
Cu 0.500 0.500 0.750
Hg 0.000 0.000 0.530
Zr 0.500 0.500 0.250
Hg 0.000 0.000 0.970
```

---

<c>
ZrCuHg2 after structural relaxation, computed with GGA-PBE. Values from VASP.

Computed properties:
Space-group type: No. 6

The structure in Quantum ESPRESSO input format:
```
&SYSTEM
  ibrav = 0, nat = 4, ntyp = 3
/
ATOMIC_SPECIES
Hg 200.59 Hg.upf
Cu 63.55 Cu.upf
Zr 91.22 Zr.upf
CELL_PARAMETERS angstrom
-4.079 2.087 0.550
-0.712 -0.644 -2.840
-2.308 -5.020 1.931
ATOMIC_POSITIONS crystal
Hg 0.000 0.018 0.978
Cu 0.500 0.013 0.733
Hg 0.500 0.976 0.274
Zr 0.000 0.493 0.515
```

---

Quick one: most stable of them? <b>

---

<a>
ZrCuHg2 after structural relaxation, computed with GGA-PBE. Values from VASP.

Computed properties:
Space-group type: No. 12

The structure in Quantum ESPRESSO input format:
```
&SYSTEM
  ibrav = 0, nat = 4, ntyp = 3
/
ATOMIC_SPECIES
Cu 63.55 Cu.upf
Hg 200.59 Hg.upf
Zr 91.22 Zr.upf
CELL_PARAMETERS angstrom
-4.768 -0.888 -1.046
-3.466 -3.541 0.251
-2.647 1.015 4.731
ATOMIC_POSITIONS crystal
Cu 0.250 0.250 0.250
Hg 0.985 0.985 0.022
Hg 0.515 0.515 0.478
Zr 0.750 0.750 0.750
```

---

<b>
ZrCuHg2 after structural relaxation, computed with GGA-PBE. Values from VASP.

Computed properties:
Space-group type: No. 166

The structure in Quantum ESPRESSO input format:
```
&SYSTEM
  ibrav = 0, nat = 4, ntyp = 3
/
ATOMIC_SPECIES
Zr 91.22 Zr.upf
Hg 200.59 Hg.upf
Cu 63.55 Cu.upf
CELL_PARAMETERS angstrom
-2.854 6.966 4.655
-4.750 7.211 1.944
-5.646 5.191 4.418
ATOMIC_POSITIONS crystal
Zr 0.250 0.250 0.250
Hg 0.491 0.491 0.491
Cu 0.750 0.750 0.750
Hg 0.009 0.009 0.009
```

---

<c>
ZrCuHg2 after structural relaxation, computed with GGA-PBE. Values from VASP.

Computed properties:
Space-group type: No. 25

The structure in Quantum ESPRESSO input format:
```
&SYSTEM
  ibrav = 0, nat = 4, ntyp = 3
/
ATOMIC_SPECIES
Hg 200.59 Hg.upf
Zr 91.22 Zr.upf
Cu 63.55 Cu.upf
CELL_PARAMETERS angstrom
-2.972 1.030 0.343
0.215 -0.444 3.196
2.619 7.278 0.835
ATOMIC_POSITIONS crystal
Hg 0.500 0.500 0.259
Hg 0.000 0.000 0.960
Zr 0.000 0.000 0.532
Cu 0.500 0.500 0.749
```

---

Quick one: most stable of them? <c>